[1]
The following is a PBE-GGA calculation of NbGa2Br after structural relaxation, from Alexandria via LeMat-Bulk.

Cell lengths 4.8524, 4.8524, 4.8524 Å; angles 60.00, 60.00, 60.00 degrees
Sites, in units of the cell vectors:
Nb: 0.5000 0.5000 0.5000
Ga: 0.2500 0.2500 0.2500
Ga: 0.7500 0.7500 0.7500
Br: 0.0000 0.0000 0.0000

Properties
- E_tot (eV per atom) = -3.809
- space-group type = Fm-3m
- energy relative to the elements, uncorrected (eV per atom) = 0.6399

***

[2]
The following is a PBE-GGA calculation of Nb3Ga2Br9 after structural relaxation, from Alexandria via LeMat-Bulk.

Cell lengths 10.3325, 9.9630, 9.9630 Å; angles 106.27, 106.87, 106.87 degrees
Sites, in units of the cell vectors:
Nb: 0.3840 0.1050 0.1050
Nb: 0.6160 0.8950 0.8950
Nb: 0.6425 0.0283 0.2139
Nb: 0.3575 0.7861 0.9717
Nb: 0.3575 0.9717 0.7861
Nb: 0.6425 0.2139 0.0283
Ga: 0.1516 0.5166 0.2147
Ga: 0.8484 0.7853 0.4834
Ga: 0.8484 0.4834 0.7853
Ga: 0.1516 0.2147 0.5166
Br: 0.5000 0.2290 0.7710
Br: 0.1595 0.4898 0.9277
Br: 0.1595 0.9277 0.4898
Br: 0.8405 0.5102 0.0723
Br: 0.7731 0.7492 0.7492
Br: 0.2269 0.2508 0.2508
Br: 0.5332 0.3903 0.1617
Br: 0.4668 0.8383 0.6097
Br: 0.4668 0.6097 0.8383
Br: 0.5332 0.1617 0.3903
Br: 0.1504 0.6991 0.6991
Br: 0.8165 0.9070 0.1350
Br: 0.8165 0.1350 0.9070
Br: 0.1835 0.0930 0.8650
Br: 0.1835 0.8650 0.0930
Br: 0.5000 0.7710 0.2290
Br: 0.8496 0.3009 0.3009
Br: 0.8405 0.0723 0.5102

Properties
- E_tot (eV per atom) = -4.461
- space-group type = C2/m
- energy relative to the elements, uncorrected (eV per atom) = -0.7951

***

[3]
The following is a PBE-GGA calculation of Nb3GaBr after structural relaxation, from Alexandria via LeMat-Bulk.

Cell lengths 4.7398, 4.7398, 4.7398 Å; angles 90.00, 90.00, 90.00 degrees
Sites, in units of the cell vectors:
Nb: 0.0000 0.5000 0.0000
Nb: 0.0000 0.0000 0.5000
Nb: 0.5000 0.0000 0.0000
Ga: 0.5000 0.5000 0.5000
Br: 0.0000 0.0000 0.0000

Properties
- E_tot (eV per atom) = -5.914
- space-group type = Pm-3m
- energy relative to the elements, uncorrected (eV per atom) = 1.0674

***

[4]
The following is a PBE-GGA calculation of NbGaNiBr2 after structural relaxation, from Alexandria via LeMat-Bulk.

Cell lengths 4.9592, 4.5951, 4.9592 Å; angles 90.00, 90.00, 90.00 degrees
Sites, in units of the cell vectors:
Ni: 0.0000 0.0000 0.0000
Nb: 0.5000 0.5000 0.5000
Ga: 0.0000 0.5000 0.0000
Br: 0.0000 0.0000 0.5000
Br: 0.5000 0.0000 0.0000

Properties
- E_tot (eV per atom) = -3.783
- space-group type = P4/mmm
- energy relative to the elements, uncorrected (eV per atom) = 0.6618

***

[5]
The following is a PBE-GGA calculation of SrNbGaBr2 after structural relaxation, from Alexandria via LeMat-Bulk.

Cell lengths 5.7057, 6.6639, 5.7057 Å; angles 90.00, 90.00, 90.00 degrees
Sites, in units of the cell vectors:
Sr: 0.0000 0.0000 0.0000
Nb: 0.5000 0.5000 0.5000
Ga: 0.0000 0.5000 0.0000
Br: 0.0000 0.0000 0.5000
Br: 0.5000 0.0000 0.0000

Properties
- E_tot (eV per atom) = -3.186
- space-group type = P4/mmm
- energy relative to the elements, uncorrected (eV per atom) = 0.4386

***

[6]
The following is a PBE-GGA calculation of TaNbGa2Br after structural relaxation, from Alexandria via LeMat-Bulk.

Cell lengths 4.8907, 4.6975, 4.8907 Å; angles 90.00, 90.00, 90.00 degrees
Sites, in units of the cell vectors:
Nb: 0.5000 0.5000 0.5000
Ga: 0.0000 0.0000 0.5000
Ga: 0.5000 0.0000 0.0000
Br: 0.0000 0.0000 0.0000
Ta: 0.0000 0.5000 0.0000

Properties
- E_tot (eV per atom) = -4.493
- space-group type = P4/mmm
- energy relative to the elements, uncorrected (eV per atom) = 1.4368